(1)
VASP calculation (PBE) on a geometry-optimized Al7Fe6 structure.

* D(E_F): 8.19 states/eV/f.u.
* ρ: 4.924 Mg/m³
* formation energy from the elements: 0.067 eV per atom
* space-group type: R-3m
* total DFT energy (no corrections): -5.85 eV per atom

Cell: 8.8143 8.8143 8.8143 Å, 32.59 32.59 32.59°
Sites, in units of the cell vectors:
1 Al 0.4163 0.4163 0.9212
2 Fe 0.8510 0.8510 0.8510
3 Al 0.5000 0.5000 0.5000
4 Fe 0.0465 0.0465 0.0465
5 Al 0.5837 0.0788 0.5837
6 Fe 0.9535 0.9535 0.9535
7 Al 0.5837 0.5837 0.0788
8 Al 0.4163 0.9212 0.4163
9 Al 0.0788 0.5837 0.5837
10 Al 0.9212 0.4163 0.4163
11 Fe 0.3332 0.3332 0.3332
12 Fe 0.6668 0.6668 0.6668
13 Fe 0.1490 0.1490 0.1490

=====

(2)
VASP calculation (PBE) on a geometry-optimized BaCe4S8 structure.

* D(E_F): 16.52 states/eV/f.u.
* ρ: 3.595 Mg/m³
* E_form (uncorrected): -24.82 eV/f.u.
* space-group type: C2/m
* total DFT energy (no corrections): -6.42 eV per atom

Cell: 8.2921 8.2921 8.4786 Å, 103.24 105.26 119.77°
Sites, in units of the cell vectors:
1 S 0.7017 0.0354 0.1919
2 Ce 0.7264 0.2243 0.9506
3 Ba 0.0000 0.5000 0.5000
4 S 0.1564 0.4901 0.1919
5 Ce 0.2736 0.7757 0.0494
6 S 0.2983 0.9646 0.8081
7 S 0.1800 0.0233 0.2033
8 S 0.6815 0.4919 0.1735
9 Ce 0.7541 0.7541 0.0000
10 S 0.3185 0.5081 0.8265
11 S 0.8436 0.5099 0.8081
12 S 0.8200 0.9767 0.7967
13 Ce 0.2459 0.2459 0.0000